(1)
Entry from the Alexandria database: crystalline Dy7Ni2Ag2 at its relaxed geometry (PBE-GGA).

```
Dy7Ni2Ag2
1.0
3.5694 0.0000 0.7655
0.8743 8.2095 4.6277
-0.1627 -0.0700 9.4628
Dy Ni Ag
7 2 2
Direct
0.8106 0.0938 0.2850 Dy
0.8605 0.3923 0.8866 Dy
0.5000 0.0129 0.9871 Dy
0.6272 0.4731 0.2725 Dy
0.3728 0.7275 0.5269 Dy
0.1894 0.7150 0.9062 Dy
0.1395 0.1134 0.6077 Dy
0.7403 0.8643 0.6551 Ni
0.2597 0.3449 0.1357 Ni
0.0000 0.7586 0.2414 Ag
0.5000 0.3582 0.6418 Ag
```

Values from the calculation:
Space-group type ... Imm2 (44)
Excess energy over the best structure of this formula in the dataset ... 0.00 kcal/mol of atoms
DFT formation energy ... -244 meV per atom



(2)
Entry from the Alexandria database: crystalline Dy6Ni2Ag at its relaxed geometry (PBE-GGA).

```
Dy6Ni2Ag
1.0
8.3311 0.0074 -0.0287
-3.1497 7.7128 0.0287
-2.8009 -3.7190 6.9089
Dy Ni Ag
12 4 2
Direct
0.5325 0.7132 0.8193 Dy
0.4675 0.2868 0.1807 Dy
0.1061 0.2868 0.8193 Dy
0.8939 0.7132 0.1807 Dy
0.8053 0.7649 0.5702 Dy
0.1947 0.2351 0.4298 Dy
0.1947 0.7649 0.9597 Dy
0.8053 0.2351 0.0403 Dy
0.6917 0.3668 0.6751 Dy
0.3083 0.6332 0.3249 Dy
0.3083 0.9834 0.6751 Dy
0.6917 0.0166 0.3249 Dy
0.5000 0.3785 0.8785 Ni
0.5000 0.6215 0.1215 Ni
0.6504 0.0000 0.6504 Ni
0.3496 0.0000 0.3496 Ni
0.0000 0.5000 0.5000 Ag
0.0000 0.0000 0.0000 Ag
```

Values from the calculation:
Space-group type ... Immm (71)
DFT formation energy ... -281 meV per atom



(3)
Entry from the Alexandria database: crystalline Dy4NiAg3 at its relaxed geometry (PBE-GGA).

```
Dy4NiAg3
1.0
3.5569 0.0000 0.0000
0.0000 3.5569 0.0000
0.0000 0.0000 14.4424
Ni Ag Dy
1 3 4
Direct
0.5000 0.5000 0.0000 Ni
0.5000 0.5000 0.2426 Ag
0.5000 0.5000 0.5000 Ag
0.5000 0.5000 0.7574 Ag
0.0000 0.0000 0.8884 Dy
0.0000 0.0000 0.1116 Dy
0.0000 0.0000 0.3707 Dy
0.0000 0.0000 0.6293 Dy
```

Values from the calculation:
Space-group type ... P4/mmm (123)
DFT formation energy ... -339 meV per atom



(4)
Entry from the Alexandria database: crystalline Dy12NiAg6 at its relaxed geometry (PBE-GGA).

```
Dy12NiAg6
1.0
8.0454 0.3579 0.4287
-0.8660 8.0067 0.4287
-0.8660 -1.0089 7.9544
Dy Ni Ag
12 1 6
Direct
0.8013 0.5712 0.4568 Dy
0.4568 0.8013 0.5712 Dy
0.5712 0.4568 0.8013 Dy
0.1987 0.4288 0.5432 Dy
0.5432 0.1987 0.4288 Dy
0.4288 0.5432 0.1987 Dy
0.9641 0.0957 0.3129 Dy
0.9043 0.6871 0.0359 Dy
0.6871 0.0359 0.9043 Dy
0.0359 0.9043 0.6871 Dy
0.0957 0.3129 0.9641 Dy
0.3129 0.9641 0.0957 Dy
0.0000 0.0000 0.0000 Ni
0.6511 0.8637 0.2599 Ag
0.7401 0.3489 0.1363 Ag
0.1363 0.7401 0.3489 Ag
0.3489 0.1363 0.7401 Ag
0.2599 0.6511 0.8637 Ag
0.8637 0.2599 0.6511 Ag
```

Values from the calculation:
Space-group type ... R-3 (148)
DFT formation energy ... -107 meV per atom